A plane-wave DFT calculation with PBE-GGA was carried out for a relaxed structure of Cs2Nb3Cl10.

Lattice parameters (Å, degrees): 23.8757 7.2283 10.0030 90.00 110.95 90.00
With the nearest neighbours (Å) after each atom.
Space group C2/m (No. 12)
One atom of each set of equivalent atoms:
Cs (0.1292, 0.0000, 0.2371) (multiplicity 4)  12 Cl 3.42-3.76
Cs (0.2315, 0.0000, 0.8356) (multiplicity 4)  12 Cl 3.60-3.97
Nb (0.0000, 0.1903, 0.5000) (multiplicity 4)  4 Cl 2.42-2.50
Nb (0.0577, 0.5000, 0.9740) (multiplicity 4)  6 Cl 2.46-2.69
Nb (0.1736, 0.5000, 0.5196) (multiplicity 4)  6 Cl 2.44-2.63
Cl (0.0000, 0.2300, 0.0000) (multiplicity 4)  2 Nb 2.46
Cl (0.0156, 0.5000, 0.6864) (multiplicity 4)  3 Nb 2.69-2.85
Cl (0.0193, 0.0000, 0.7113) (multiplicity 4)  2 Nb 2.42
Cl (0.1087, 0.2337, 0.5379) (multiplicity 8)  2 Nb 2.50-2.52
Cl (0.1207, 0.5000, 0.2427) (multiplicity 4)  2 Nb 2.57-2.60
Cl (0.1318, 0.2677, 0.9569) (multiplicity 8)  1 Nb 2.49
Cl (0.2276, 0.5000, 0.7773) (multiplicity 4)  1 Nb 2.44
Cl (0.2500, 0.2500, 0.5000) (multiplicity 4)  2 Nb 2.63

A plane-wave DFT calculation with PBE-GGA was carried out for a relaxed structure of CsNb3Cl.

Energy above the most stable polymorph in this dataset, eV per formula unit: 0.00

Lattice parameters (Å, degrees): 4.8157 4.8157 4.8157 90.00 90.00 90.00
With the nearest neighbours (Å) after each atom.
Space group Pm-3m (No. 221)
One atom of each set of equivalent atoms:
Cs (0.0000, 0.0000, 0.0000) (multiplicity 1)  12 Nb 3.41
Nb (0.0000, 0.5000, 0.5000) (multiplicity 3)  2 Cl 2.41
Cl (0.5000, 0.5000, 0.5000) (multiplicity 1)  6 Nb 2.41

A plane-wave DFT calculation with PBE-GGA was carried out for a relaxed structure of CsNb2ClO.

Lattice parameters (Å, degrees): 6.2730 6.2730 6.0185 90.00 90.00 90.00
With the nearest neighbours (Å) after each atom.
Space group P4/mmm (No. 123)
One atom of each set of equivalent atoms:
Cs (0.0000, 0.0000, 0.0000) (multiplicity 1)  2 Cl 3.01, 4 Nb 3.14
Nb (0.0000, 0.5000, 0.0000) (multiplicity 2)  2 Cs 3.14
Cl (0.0000, 0.0000, 0.5000) (multiplicity 1)  2 Cs 3.01
O (0.5000, 0.5000, 0.5000) (multiplicity 1)  8 Nb 4.35, 4 Cl 4.44

A plane-wave DFT calculation with PBE-GGA was carried out for a relaxed structure of CsNbClO3.

Lattice parameters (Å, degrees): 7.6251 13.8784 5.8019 90.00 103.40 90.00
With the nearest neighbours (Å) after each atom.
Space group C2/c (No. 15)
One atom of each set of equivalent atoms:
Cs (0.0000, 0.1870, 0.2500) (multiplicity 4)  3 Cl 3.37-3.47, 4 O 3.49-3.61
Nb (0.0000, 0.4562, 0.7500) (multiplicity 4)  1 O 1.79
Cl (0.0000, 0.0630, 0.7500) (multiplicity 4)  2 O 2.66
O (0.0000, 0.3271, 0.7500) (multiplicity 4)  1 Nb 1.79
O (0.1703, 0.5000, 0.0527) (multiplicity 8)  2 Nb 2.01-2.02

| no. | Fermi-level density of states (states/eV per atom) | E_form (uncorrected) (meV per atom) |
| --- | --- | --- |
| 1 | 0.294 | -1307 |
| 2 | 1.586 | 1416 |
| 3 | 5.849 | 2559 |
| 4 | 0.152 | -1828 |